VASP calculation (GGA-PBE) on an optimized crystal structure of Ag2MoPb.

Cell and atoms, written as POSCAR:
```
Ag2MoPb
1.0
3.9817 0.0000 0.0000
0.0000 3.9817 0.0000
1.9908 1.9908 10.6650
Pb Mo Ag
2 2 4
direct
0.0000 0.0000 0.0000
0.7500 0.2500 0.5000
0.5000 0.5000 0.0000
0.2500 0.7500 0.5000
0.6158 0.1250 0.2500
0.1342 0.6250 0.2500
0.3750 0.3842 0.7500
0.8750 0.8658 0.7500
```

Properties
Symmetry: No. 122
VASP energy, eV/atom: -4.31
Density of states at the Fermi level, states/eV per cell: 5.32
Formation energy from the elements, eV/atom: 0.747
V, Å³/cell: 169.08



VASP calculation (GGA-PBE) on an optimized crystal structure of AgMoPb2.

Cell and atoms, written as POSCAR:
```
AgMoPb2
1.0
-0.2543 2.6837 1.4272
-3.0174 -0.3962 0.2048
1.2308 -4.6953 9.0482
Ag Mo Pb
1 1 2
direct
0.0000 0.0000 0.5337
0.5000 0.5000 0.7200
0.0000 0.0000 0.9410
0.5000 0.5000 0.3053
```

Properties
Energy above the lowest structure with this stoichiometry, meV per atom: 0
Symmetry: No. 99
VASP energy, eV/atom: -4.79
Density of states at the Fermi level, states/eV per cell: 1.29
Formation energy from the elements, eV/atom: 0.482
V, Å³/cell: 95.53



VASP calculation (GGA-PBE) on an optimized crystal structure of Ag2MoPb.

Cell and atoms, written as POSCAR:
```
Ag2MoPb
1.0
-2.0673 -1.8191 -1.0014
0.6566 -1.9154 2.1180
-6.2868 4.0536 5.6147
Ag Mo Pb
2 1 1
direct
0.0000 0.0000 0.0298
0.0000 0.0000 0.4702
0.5000 0.5000 0.2500
0.5000 0.5000 0.7500
```

Properties
Symmetry: No. 123
VASP energy, eV/atom: -4.56
Density of states at the Fermi level, states/eV per cell: 2.66
Formation energy from the elements, eV/atom: 0.503
V, Å³/cell: 80.30



VASP calculation (GGA-PBE) on an optimized crystal structure of AgMoPb2.

Cell and atoms, written as POSCAR:
```
AgMoPb2
1.0
-0.2199 1.4498 -5.1633
3.2592 -3.2613 -2.7480
-3.9223 -1.1057 3.4932
Ag Mo Pb
1 1 2
direct
0.2500 0.7500 0.5000
0.7500 0.2500 0.5000
0.0000 0.0000 0.0000
0.5000 0.5000 0.0000
```

Properties
Energy above the lowest structure with this stoichiometry, meV per atom: 196
Symmetry: No. 139
VASP energy, eV/atom: -4.60
Density of states at the Fermi level, states/eV per cell: 1.47
Formation energy from the elements, eV/atom: 0.678
V, Å³/cell: 86.95



VASP calculation (GGA-PBE) on an optimized crystal structure of AgMoPb2.

Cell and atoms, written as POSCAR:
```
AgMoPb2
1.0
4.4991 0.0000 0.0000
0.0000 3.6538 0.0083
0.0000 1.8298 5.4293
Ag Mo Pb
1 1 2
direct
0.0000 0.7049 0.4655
0.5000 0.5441 0.7867
0.0000 0.9820 0.9100
0.5000 0.2689 0.3378
```

Properties
Energy above the lowest structure with this stoichiometry, meV per atom: 38
Symmetry: No. 6
VASP energy, eV/atom: -4.76
Density of states at the Fermi level, states/eV per cell: 3.10
Formation energy from the elements, eV/atom: 0.519
V, Å³/cell: 89.18



VASP calculation (GGA-PBE) on an optimized crystal structure of AgMoPb3.

Cell and atoms, written as POSCAR:
```
AgMoPb3
1.0
-4.6157 1.0329 -2.7036
1.5892 -3.3490 -3.9925
-2.4189 -4.1712 2.5360
Pb Mo Ag
3 1 1
direct
0.0000 0.5000 0.0000
0.0000 0.0000 0.5000
0.5000 0.0000 0.0000
0.5000 0.5000 0.5000
0.0000 0.0000 0.0000
```

Properties
Energy above the lowest structure with this stoichiometry, meV per atom: 531
Symmetry: No. 221
VASP energy, eV/atom: -3.81
Density of states at the Fermi level, states/eV per cell: 4.55
Formation energy from the elements, eV/atom: 1.149
V, Å³/cell: 161.71



VASP calculation (GGA-PBE) on an optimized crystal structure of AgMoPb3.

Cell and atoms, written as POSCAR:
```
AgMoPb3
1.0
-4.5996 1.5692 2.3538
-0.2688 -4.7152 2.6181
2.8162 2.1128 4.0945
Pb Mo Ag
3 1 1
direct
0.0000 0.5000 0.0000
0.0000 0.0000 0.5000
0.5000 0.0000 0.0000
0.0000 0.0000 0.0000
0.5000 0.5000 0.5000
```

Properties
Energy above the lowest structure with this stoichiometry, meV per atom: 0
Symmetry: No. 221
VASP energy, eV/atom: -4.34
Density of states at the Fermi level, states/eV per cell: 2.26
Formation energy from the elements, eV/atom: 0.618
V, Å³/cell: 157.46



VASP calculation (GGA-PBE) on an optimized crystal structure of AgMoPb2.

Cell and atoms, written as POSCAR:
```
AgMoPb2
1.0
7.9024 0.0000 0.0000
0.0000 7.9024 0.0000
3.9512 3.9512 3.1651
Pb Mo Ag
4 2 2
direct
0.6276 0.1250 0.2500
0.1224 0.6250 0.2500
0.3750 0.3724 0.7500
0.8750 0.8776 0.7500
0.5000 0.5000 0.0000
0.2500 0.7500 0.5000
0.0000 0.0000 0.0000
0.7500 0.2500 0.5000
```

Properties
Energy above the lowest structure with this stoichiometry, meV per atom: 398
Symmetry: No. 122
VASP energy, eV/atom: -4.39
Density of states at the Fermi level, states/eV per cell: 4.21
Formation energy from the elements, eV/atom: 0.880
V, Å³/cell: 197.65



VASP calculation (GGA-PBE) on an optimized crystal structure of AgMoPb2.

Cell and atoms, written as POSCAR:
```
AgMoPb2
1.0
-0.2709 -0.1521 5.0053
0.9163 4.1337 2.6874
-3.7515 2.3262 2.3799
Pb Mo Ag
2 1 1
direct
0.2500 0.2500 0.2500
0.7500 0.7500 0.7500
0.0000 0.0000 0.0000
0.5000 0.5000 0.5000
```

Properties
Energy above the lowest structure with this stoichiometry, meV per atom: 246
Symmetry: No. 225
VASP energy, eV/atom: -4.55
Density of states at the Fermi level, states/eV per cell: 3.00
Formation energy from the elements, eV/atom: 0.728
V, Å³/cell: 89.18



VASP calculation (GGA-PBE) on an optimized crystal structure of AgMoPb2.

Cell and atoms, written as POSCAR:
```
AgMoPb2
1.0
3.2693 0.0000 0.0000
0.0000 5.8967 -0.0118
0.0000 3.9069 4.5453
Ag Mo Pb
1 1 2
direct
0.5000 0.5000 0.5000
0.0000 0.0000 0.5000
0.0000 0.0000 0.0000
0.5000 0.5000 0.0000
```

Properties
Energy above the lowest structure with this stoichiometry, meV per atom: 151
Symmetry: No. 10
VASP energy, eV/atom: -4.64
Density of states at the Fermi level, states/eV per cell: 3.57
Formation energy from the elements, eV/atom: 0.633
V, Å³/cell: 87.78



VASP calculation (GGA-PBE) on an optimized crystal structure of AgMoPb2.

Cell and atoms, written as POSCAR:
```
AgMoPb2
1.0
3.8506 0.0000 0.0000
0.0000 3.8473 0.0000
0.0000 0.0000 5.9575
Ag Mo Pb
1 1 2
direct
0.0000 0.0000 0.4875
0.5000 0.5000 0.7712
0.0000 0.0000 0.9562
0.5000 0.5000 0.2851
```

Properties
Energy above the lowest structure with this stoichiometry, meV per atom: 89
Symmetry: No. 99
VASP energy, eV/atom: -4.70
Density of states at the Fermi level, states/eV per cell: 2.30
Formation energy from the elements, eV/atom: 0.571
V, Å³/cell: 88.26



VASP calculation (GGA-PBE) on an optimized crystal structure of AgMoPb2.

Cell and atoms, written as POSCAR:
```
AgMoPb2
1.0
5.7953 -0.0081 0.0000
2.7727 5.0889 0.0000
-4.2840 -2.5404 2.9629
Ag Mo Pb
1 1 2
direct
0.5000 0.5000 0.0000
0.7500 0.2500 0.5000
0.0000 0.0000 0.0000
0.2500 0.7500 0.5000
```

Properties
Energy above the lowest structure with this stoichiometry, meV per atom: 145
Symmetry: No. 119
VASP energy, eV/atom: -4.65
Density of states at the Fermi level, states/eV per cell: 2.26
Formation energy from the elements, eV/atom: 0.627
V, Å³/cell: 87.45



VASP calculation (GGA-PBE) on an optimized crystal structure of Ag2SbMoPb.

Cell and atoms, written as POSCAR:
```
Ag2SbMoPb
1.0
5.1667 0.0000 0.0000
0.0000 5.2626 0.0000
0.0000 0.0000 5.1667
Pb Sb Mo Ag
1 1 1 2
direct
0.5000 0.5000 0.5000
0.0000 0.0000 0.0000
0.0000 0.5000 0.0000
0.0000 0.0000 0.5000
0.5000 0.0000 0.0000
```

Properties
Symmetry: No. 123
VASP energy, eV/atom: -3.98
Formation energy (no corrections), eV per atom: 0.897
Density of states at the Fermi level, states/eV per cell: 2.09
V, Å³/cell: 140.49



VASP calculation (GGA-PBE) on an optimized crystal structure of TcAgMo2Pb.

Cell and atoms, written as POSCAR:
```
TcAgMo2Pb
1.0
4.7503 0.0000 0.0000
0.0000 5.2315 0.0000
0.0000 0.0000 4.7503
Pb Mo Tc Ag
1 2 1 1
direct
0.0000 0.5000 0.0000
0.0000 0.0000 0.5000
0.5000 0.0000 0.0000
0.0000 0.0000 0.0000
0.5000 0.5000 0.5000
```

Properties
Symmetry: No. 123
VASP energy, eV/atom: -6.30
Density of states at the Fermi level, states/eV per cell: 4.43
Formation energy from the elements, eV/atom: 1.418
V, Å³/cell: 118.05